# OsBr5Cl | Alexandria via LeMat-Bulk | PBE | relaxed
# Energy relative to the elements, uncorrected in eV/atom: -0.10
# DOS(E_F) in states/eV/cell: 2.6
# M_tot in μB/cell: 4.06
data_OsBr5Cl
_space_group_name_H-M_alt 'P -1'
_space_group_IT_number 2
_space_group_name_Hall '-P 1'
_cell_length_a 7.5792
_cell_length_b 7.7667
_cell_length_c 9.1584
_cell_angle_alpha 101.15
_cell_angle_beta 110.08
_cell_angle_gamma 92.20
loop_
_atom_site_label
_atom_site_fract_x
_atom_site_fract_y
_atom_site_fract_z
Os1 0.0000 0.0000 0.0000
Os2 0.0000 0.0000 0.5000
Br1 0.0602 0.1453 0.2924
Br2 0.1226 0.7272 0.0683
Br3 0.2151 0.2519 0.7043
Br4 0.2578 0.5392 0.6060
Br5 0.2812 0.8404 0.5170
Cl1 0.3014 0.1151 0.0408

***

# NaMn3Br | Alexandria via LeMat-Bulk | PBE | relaxed
# Energy relative to the elements, uncorrected in eV/atom: 1.02
# DOS(E_F) in states/eV/cell: 4.0
# M_tot in μB/cell: 9.77
# Excess energy over the best structure of this formula in the dataset in meV/atom: 0
data_NaMn3Br
_space_group_name_H-M_alt 'P m -3 m'
_space_group_IT_number 221
_space_group_name_Hall '-P 4 2 3'
_cell_length_a 4.7060
_cell_length_b 4.7060
_cell_length_c 4.7060
_cell_angle_alpha 90.00
_cell_angle_beta 90.00
_cell_angle_gamma 90.00
loop_
_atom_site_label
_atom_site_fract_x
_atom_site_fract_y
_atom_site_fract_z
Na1 0.0000 0.0000 0.0000
Mn1 0.0000 0.5000 0.5000
Br1 0.5000 0.5000 0.5000

***

# Pm6TlSi2Se3 | Alexandria via LeMat-Bulk | PBE | relaxed
# Energy relative to the elements, uncorrected in eV/atom: -1.21
# DOS(E_F) in states/eV/cell: 11.7
# M_tot in μB/cell: 0.00
data_Pm6TlSi2Se3
_space_group_name_H-M_alt 'C 1 2/m 1'
_space_group_IT_number 12
_space_group_name_Hall '-C 2y'
_cell_length_a 18.7801
_cell_length_b 4.2384
_cell_length_c 8.6477
_cell_angle_alpha 90.00
_cell_angle_beta 105.80
_cell_angle_gamma 90.00
loop_
_atom_site_label
_atom_site_fract_x
_atom_site_fract_y
_atom_site_fract_z
Pm1 0.0013 0.0000 0.2667
Pm2 0.1706 0.5000 0.5725
Pm3 0.1723 0.5000 0.0923
Tl1 0.0000 0.5000 0.0000
Si1 0.1649 0.0000 0.3281
Se1 0.0000 0.5000 0.5000
Se2 0.1662 0.0000 0.8294

***

# CrAg2HPb | Alexandria via LeMat-Bulk | PBE | relaxed
# DOS(E_F) in states/eV/cell: 2.9
# M_tot in μB/cell: 5.42
# VASP energy in eV/atom: -3.152
data_CrAg2HPb
_space_group_name_H-M_alt 'P 4/m m m'
_space_group_IT_number 123
_space_group_name_Hall '-P 4 2'
_cell_length_a 5.4468
_cell_length_b 5.4468
_cell_length_c 5.4128
_cell_angle_alpha 90.00
_cell_angle_beta 90.00
_cell_angle_gamma 90.00
loop_
_atom_site_label
_atom_site_fract_x
_atom_site_fract_y
_atom_site_fract_z
Cr1 0.0000 0.0000 0.0000
Ag1 0.0000 0.5000 0.5000
H1 0.5000 0.5000 0.0000
Pb1 0.0000 0.0000 0.5000

***

> Among the records above, which one has the highest M_tot?

NaMn3Br

***

> Which value of DOS(E_F) does entry 2 give?

4.0 states/eV/cell